Material: Sc6SiS5
Method: DFT, PBE-GGA
State: optimized geometry

Cell lengths 6.442, 6.442, 6.464 Å; angles 99.54, 99.54, 119.98 degrees
Fractional coordinates of all 12 atoms:
Sc1 0.082 0.412 0.247
Sc2 0.248 0.248 0.755
Sc3 0.412 0.082 0.247
Sc4 0.588 0.918 0.753
Sc5 0.752 0.752 0.245
Sc6 0.918 0.588 0.753
Si1 0.000 0.000 0.000
S1 0.167 0.833 0.500
S2 0.333 0.667 0.000
S3 0.500 0.500 0.500
S4 0.667 0.333 0.000
S5 0.833 0.167 0.500

Summary:
* uncorrected formation energy: -1.703 eV/atom
* SG: C2/m, No. 12
* uncorrected energy: -7.040 eV per atom
* DOS at the Fermi energy: 5.8 states/eV/f.u.

Material: Sc5Si2S2
Method: DFT, PBE-GGA
State: optimized geometry

Cell lengths 7.534, 7.534, 7.010 Å; angles 90.00, 90.00, 54.93 degrees
Fractional coordinates of all 18 atoms:
Sc1 0.000 0.000 0.000
Sc2 0.030 0.692 0.664
Sc3 0.192 0.530 0.164
Sc4 0.308 0.970 0.664
Sc5 0.470 0.808 0.164
Sc6 0.500 0.500 0.500
Sc7 0.530 0.192 0.836
Sc8 0.692 0.030 0.336
Sc9 0.808 0.470 0.836
Sc10 0.970 0.308 0.336
Si1 0.126 0.874 0.374
Si2 0.374 0.626 0.874
Si3 0.626 0.374 0.126
Si4 0.874 0.126 0.626
S1 0.199 0.199 0.000
S2 0.301 0.301 0.500
S3 0.699 0.699 0.500
S4 0.801 0.801 0.000

Summary:
* uncorrected formation energy: -1.216 eV/atom
* SG: Cmce, No. 64
* uncorrected energy: -6.856 eV per atom
* DOS at the Fermi energy: 8.1 states/eV/f.u.

The lowest uncorrected energy belongs to which entry? Sc6SiS5

Among the records above, which one has the lowest uncorrected formation energy? Sc6SiS5

Which of these has the lowest uncorrected energy? Sc6SiS5

Which value of DOS at the Fermi energy does entry 1 give? 5.8 states/eV/f.u.